Entry 1:
Entry from Alexandria: a geometry-optimized Sr2Th4P3N2 structure (PBE).

Computed properties:
The spin magnetization is 0.00 μB/cell. The density of states at the Fermi level comes out at 0.50 states/eV/atom. The value obtained for the total energy is -78.6 eV per cell. Its symmetry is I4/mmm. As for the formation energy (no corrections): -1151 meV per atom.

Lattice parameters (Å, degrees): 4.7581 4.7581 12.4323 101.03 101.03 90.00
Closest atoms and distances in Å follow each position.
Sites, in units of the cell vectors:
Th  0.9222  0.4222  0.8444  2 N 2.43
Th  0.0778  0.5778  0.1556  2 N 2.43
Th  0.5778  0.0778  0.1556  2 N 2.43
Th  0.4222  0.9222  0.8444  2 N 2.43
P  0.1659  0.1659  0.3318  5 Sr 3.16-3.48, 4 Th 3.18
P  0.0000  0.0000  0.0000  8 Th 3.02
P  0.8341  0.8341  0.6682  5 Sr 3.16-3.48, 4 Th 3.18
Sr  0.2977  0.2977  0.5955  1 N 2.51
Sr  0.7023  0.7023  0.4045  1 N 2.51
N  0.4025  0.4025  0.8050  4 Th 2.43, 1 Sr 2.51
N  0.5975  0.5975  0.1950  4 Th 2.43, 1 Sr 2.51

***

Entry 2:
Entry from Alexandria: a geometry-optimized TbPmSiSe structure (PBE).

Computed properties:
The spin magnetization is 0.00 μB/cell. The density of states at the Fermi level comes out at 0.35 states/eV/atom. The value obtained for the total energy is -23.5 eV per cell. Its symmetry is R3m. As for the formation energy (no corrections): -1305 meV per atom.

Lattice parameters (Å, degrees): 4.1678 4.1678 7.3145 73.45 73.45 60.00
Closest atoms and distances in Å follow each position.
Sites, in units of the cell vectors:
Tb  0.1979  0.1979  0.4064  3 Si 2.90, 3 Se 2.98
Se  0.4464  0.4464  0.6609  3 Tb 2.98, 3 Pm 3.04
Pm  0.6899  0.6899  0.9302  3 Si 2.93, 3 Se 3.04
Si  0.9422  0.9422  0.1733  3 Tb 2.90, 3 Pm 2.93

***

Entry 3:
Entry from Alexandria: a geometry-optimized KUAlO5 structure (PBE).

Computed properties:
The spin magnetization is 0.00 μB/cell. The density of states at the Fermi level comes out at 0.00 states/eV/atom. The value obtained for the total energy is -127.6 eV per cell. Its symmetry is C2/c. As for the formation energy (no corrections): -2862 meV per atom.

Lattice parameters (Å, degrees): 6.0271 6.0271 8.0437 105.76 105.76 104.74
Closest atoms and distances in Å follow each position.
Sites, in units of the cell vectors:
O  0.7179  0.1195  0.3854  1 Al 1.80
O  0.7746  0.6294  0.3905  1 Al 1.80
O  0.2254  0.3706  0.6095  1 Al 1.80
O  0.9360  0.0640  0.7500  2 U 2.10
O  0.6294  0.7746  0.8905  1 Al 1.80
O  0.2821  0.8805  0.6146  1 Al 1.80
O  0.8805  0.2821  0.1146  1 Al 1.80
O  0.1195  0.7179  0.8854  1 Al 1.80
O  0.3706  0.2254  0.1095  1 Al 1.80
O  0.0640  0.9360  0.2500  2 U 2.10
Al  0.3111  0.6889  0.7500  4 O 1.80
Al  0.6889  0.3111  0.2500  4 O 1.80
K  0.6665  0.3335  0.7500  5 O 2.57-2.79
K  0.3335  0.6665  0.2500  5 O 2.57-2.79
U  0.0000  0.0000  0.0000  6 O 2.09-2.10
U  0.0000  0.0000  0.5000  6 O 2.09-2.10

***

Entry 4:
Entry from Alexandria: a geometry-optimized SiTeW2 structure (PBE).

Computed properties:
For the relative energy among the computed polymorphs, the calculation gives 1.30 eV/f.u. The spin magnetization is 0.00 μB/cell. The density of states at the Fermi level comes out at 0.67 states/eV/atom. The value obtained for the total energy is -32.0 eV per cell. Its symmetry is R-3m. As for the formation energy (no corrections): 619 meV per atom.

Lattice parameters (Å, degrees): 8.2519 8.2519 8.2519 21.95 21.95 21.95
Closest atoms and distances in Å follow each position.
Sites, in units of the cell vectors:
W  0.5073  0.5073  0.5073  3 Si 2.58, 3 Te 2.84
W  0.9927  0.9927  0.9927  3 Si 2.58, 3 Te 2.84
Si  0.2500  0.2500  0.2500  6 W 2.58
Te  0.7500  0.7500  0.7500  6 W 2.84, 6 Te 3.14

***

Entry 5:
Entry from Alexandria: a geometry-optimized CaSi2Ir structure (PBE).

Computed properties:
The spin magnetization is 0.00 μB/cell. The density of states at the Fermi level comes out at 0.75 states/eV/atom. The value obtained for the total energy is -21.9 eV per cell. Its symmetry is P4/mmm. As for the formation energy (no corrections): -53 meV per atom.

Lattice parameters (Å, degrees): 4.0378 4.0329 4.0440 90.00 90.00 90.00
Closest atoms and distances in Å follow each position.
Sites, in units of the cell vectors:
Ca  0.5000  0.0000  0.5000  4 Ir 2.85, 8 Si 2.86
Ir  0.0000  0.5000  0.5000  4 Ca 2.85, 8 Si 2.86
Si  0.0000  0.0000  0.0000  4 Si 2.85, 4 Ir 2.86, 4 Ca 2.86
Si  0.5000  0.5000  0.0000  4 Si 2.85, 4 Ca 2.86, 4 Ir 2.86

***

Entry 6:
Entry from Alexandria: a geometry-optimized Ta2FeRh9 structure (PBE).

Computed properties:
The spin magnetization is 3.61 μB/cell. The density of states at the Fermi level comes out at 0.72 states/eV/atom. The value obtained for the total energy is -103.3 eV per cell. For the energy of formation, the calculation gives -0.418 eV/atom. Its symmetry is P4/mmm.

Lattice parameters (Å, degrees): 3.8758 3.8758 11.5828 90.00 90.00 90.00
Closest atoms and distances in Å follow each position.
Sites, in units of the cell vectors:
Rh  0.0000  0.5000  0.8368  8 Rh 2.71-2.75, 2 Fe 2.71, 2 Ta 2.73
Rh  0.5000  0.0000  0.1632  2 Fe 2.71, 8 Rh 2.71-2.75, 2 Ta 2.73
Rh  0.0000  0.5000  0.1632  8 Rh 2.71-2.75, 2 Fe 2.71, 2 Ta 2.73
Rh  0.0000  0.5000  0.5000  8 Rh 2.74-2.75, 4 Ta 2.77
Rh  0.5000  0.5000  0.3320  4 Ta 2.74, 8 Rh 2.75
Rh  0.5000  0.5000  0.6680  4 Ta 2.74, 8 Rh 2.75
Rh  0.5000  0.0000  0.8368  2 Fe 2.71, 8 Rh 2.71-2.75, 2 Ta 2.73
Rh  0.5000  0.0000  0.5000  8 Rh 2.74-2.75, 4 Ta 2.77
Rh  0.5000  0.5000  0.0000  8 Rh 2.71, 4 Fe 2.74
Ta  0.0000  0.0000  0.3295  12 Rh 2.73-2.77
Ta  0.0000  0.0000  0.6705  12 Rh 2.73-2.77
Fe  0.0000  0.0000  0.0000  12 Rh 2.71-2.74

***

Entry 7:
Entry from Alexandria: a geometry-optimized K2MnTe structure (PBE).

Computed properties:
The spin magnetization is 4.99 μB/cell. The density of states at the Fermi level comes out at 0.18 states/eV/atom. The value obtained for the total energy is -14.3 eV per cell. Its symmetry is Cmmm. As for the formation energy (no corrections): 46 meV per atom.

Lattice parameters (Å, degrees): 8.9993 5.2800 4.9689 90.03 56.45 126.31
Closest atoms and distances in Å follow each position.
Sites, in units of the cell vectors:
K  0.0000  0.0000  0.0000  4 Te 3.62-3.63, 4 Mn 3.62-3.63, 4 K 3.72-3.75
K  0.5000  0.0000  0.5000  4 Mn 3.62-3.63, 4 Te 3.62-3.63, 4 K 3.72-3.75
Mn  0.0000  0.5000  0.5000  8 K 3.62-3.63, 4 Te 3.72-3.75
Te  0.5000  0.5000  0.0000  8 K 3.62-3.63, 4 Mn 3.72-3.75

***

Entry 8:
Entry from Alexandria: a geometry-optimized Tb3TePtCl structure (PBE).

Computed properties:
The spin magnetization is 0.00 μB/cell. The density of states at the Fermi level comes out at 0.62 states/eV/atom. The value obtained for the total energy is -65.1 eV per cell. Its symmetry is P2_1/m. As for the formation energy (no corrections): -1270 meV per atom.

Lattice parameters (Å, degrees): 4.1580 8.5646 9.7714 96.74 90.00 90.00
Closest atoms and distances in Å follow each position.
Sites, in units of the cell vectors:
Tb  0.7500  0.3473  0.5944  2 Cl 2.71, 1 Pt 2.85
Tb  0.2500  0.6527  0.4056  2 Cl 2.71, 1 Pt 2.85
Tb  0.7500  0.8113  0.1197  1 Cl 2.86, 2 Pt 2.89, 3 Te 3.17-3.21
Tb  0.7500  0.3722  0.1815  3 Pt 2.85-2.97, 2 Te 3.16
Tb  0.2500  0.6278  0.8185  3 Pt 2.85-2.97, 2 Te 3.16
Tb  0.2500  0.1887  0.8803  1 Cl 2.86, 2 Pt 2.89, 3 Te 3.17-3.21
Te  0.7500  0.9047  0.8158  5 Tb 3.16-3.21
Te  0.2500  0.0953  0.1842  5 Tb 3.16-3.21
Cl  0.7500  0.8568  0.4146  3 Tb 2.71-2.86
Cl  0.2500  0.1432  0.5854  3 Tb 2.71-2.86
Pt  0.7500  0.4236  0.8864  6 Tb 2.85-2.97
Pt  0.2500  0.5764  0.1136  6 Tb 2.85-2.97

***

Q: spin magnetization of number 1 (Sr2Th4P3N2)?
A: 0.00 μB/cell

***

Q: What is the spin magnetization in the first record?
A: 0.00 μB/cell

***

Q: Which of these has the highest spin magnetization?
A: K2MnTe